Compound: La2TlGeAs
Source: the Alexandria database
Functional: PBE
Structure: relaxed

## Properties
- energy of formation from the pure elements (meV per atom) = -179
- final energy (eV per atom) = -4.48

abc: 5.776 5.776 5.090
angles: 90.00 90.00 90.00
Space group P4/mmm (No. 123)
Symmetry-distinct sites (fractional):
La  0.000  0.500  0.000
Tl  0.000  0.000  0.500
Ge  0.000  0.000  0.000
As  0.500  0.500  0.500



Compound: RhSeCl2
Source: the Alexandria database
Functional: PBE
Structure: relaxed

## Properties
- E above lowest polymorph (kJ/mol of formula units) = 0
- final energy (eV per atom) = -4.00

abc: 3.743 3.750 8.146
angles: 99.60 90.53 119.89
Space group P1 (No. 1)
Symmetry-distinct sites (fractional):
Rh  0.000  0.000  0.000
Se  0.296  0.597  0.860
Cl  0.222  0.468  0.575
Cl  0.714  0.421  0.178



Compound: LaFeOs2
Source: the Alexandria database
Functional: PBE
Structure: relaxed

## Properties
- E above lowest polymorph (kJ/mol of formula units) = 194
- energy of formation from the pure elements (meV per atom) = 576
- final energy (eV per atom) = -8.39

abc: 4.859 4.859 15.830
angles: 90.00 90.00 90.00
Space group I-42d (No. 122)
Symmetry-distinct sites (fractional):
La  0.000  0.000  0.000
Fe  0.000  0.000  0.500
Os  0.002  0.750  0.625



Compound: Ac2Nd5Ho
Source: the Alexandria database
Functional: PBE
Structure: relaxed

## Properties
- E above lowest polymorph (kJ/mol of formula units) = 0
- energy of formation from the pure elements (meV per atom) = 29
- final energy (eV per atom) = -4.55

abc: 7.464 14.958 5.275
angles: 90.00 90.00 90.00
Space group Pbam (No. 55)
Symmetry-distinct sites (fractional):
Ac  0.248  0.124  0.000
Nd  0.000  0.500  0.500
Nd  0.002  0.751  0.500
Nd  0.249  0.376  0.000
Ho  0.000  0.000  0.500



Compound: Ta3Cu
Source: the Alexandria database
Functional: PBE
Structure: relaxed

## Properties
- energy of formation from the pure elements (meV per atom) = 109
- final energy (eV per atom) = -9.81

abc: 6.111 9.440 4.661
angles: 90.00 90.00 90.00
Space group Cmcm (No. 63)
Symmetry-distinct sites (fractional):
Ta  0.000  0.132  0.250
Ta  0.237  0.393  0.250
Cu  0.000  0.345  0.750



Compound: SrSi2PIr
Source: the Alexandria database
Functional: PBE
Structure: relaxed

## Properties
- final energy (eV per atom) = -4.60

abc: 4.496 4.496 5.383
angles: 90.00 90.00 90.00
Space group P4/mmm (No. 123)
Symmetry-distinct sites (fractional):
Sr  0.000  0.000  0.000
Si  0.000  0.500  0.500
P  0.000  0.000  0.500
Ir  0.500  0.500  0.000



Compound: Dy3YRu
Source: the Alexandria database
Functional: PBE
Structure: relaxed

## Properties
- E above lowest polymorph (kJ/mol of formula units) = 4
- energy of formation from the pure elements (meV per atom) = -128
- final energy (eV per atom) = -6.04

abc: 4.874 9.683 6.503
angles: 90.00 111.77 90.00
Space group P2_1/m (No. 11)
Symmetry-distinct sites (fractional):
Dy  0.136  0.000  0.268
Dy  0.362  0.250  0.727
Y  0.362  0.750  0.726
Ru  0.002  0.750  0.004



Compound: TbGeW
Source: the Alexandria database
Functional: PBE
Structure: relaxed

## Properties
- energy of formation from the pure elements (meV per atom) = -393
- final energy (eV per atom) = -7.79

abc: 3.934 3.934 7.810
angles: 90.00 90.00 90.00
Space group P4/nmm (No. 129, origin choice 2)
Symmetry-distinct sites (fractional):
Tb  0.250  0.250  0.145
Ge  0.250  0.250  0.739
W  0.250  0.750  0.500



Compound: Tl4Zn2W
Source: the Alexandria database
Functional: PBE
Structure: relaxed

## Properties
- energy of formation from the pure elements (meV per atom) = 677
- final energy (eV per atom) = -2.89

abc: 5.567 5.567 13.326
angles: 90.00 90.00 90.00
Space group I4/mmm (No. 139)
Symmetry-distinct sites (fractional):
Tl  0.000  0.000  0.201
Tl  0.000  0.500  0.000
Zn  0.000  0.000  0.401
W  0.000  0.000  0.000



Compound: UTc3
Source: the Alexandria database
Functional: PBE
Structure: relaxed

## Properties
- energy of formation from the pure elements (meV per atom) = 31
- final energy (eV per atom) = -10.57

abc: 4.551 4.551 3.196
angles: 90.00 90.00 90.00
Space group P4/mmm (No. 123)
Symmetry-distinct sites (fractional):
U  0.000  0.000  0.000
Tc  0.000  0.500  0.500
Tc  0.500  0.500  0.000



Compound: LaTaAl3
Source: the Alexandria database
Functional: PBE
Structure: relaxed

## Properties
- E above lowest polymorph (kJ/mol of formula units) = 0
- energy of formation from the pure elements (meV per atom) = 103
- final energy (eV per atom) = -5.50

abc: 5.013 5.013 5.013
angles: 90.00 90.00 90.00
Space group Pm-3m (No. 221)
Symmetry-distinct sites (fractional):
La  0.000  0.000  0.000
Ta  0.500  0.500  0.500
Al  0.000  0.500  0.500



Compound: ErLuZnGe
Source: the Alexandria database
Functional: PBE
Structure: relaxed

## Properties
- energy of formation from the pure elements (meV per atom) = -497
- final energy (eV per atom) = -4.24

abc: 6.991 6.991 6.991
angles: 90.00 90.00 90.00
Space group F-43m (No. 216)
Symmetry-distinct sites (fractional):
Er  0.000  0.000  0.000
Lu  0.000  0.000  0.500
Zn  0.250  0.250  0.250
Ge  0.250  0.250  0.750



Compound: CsRbNaCd
Source: the Alexandria database
Functional: PBE
Structure: relaxed

## Properties
- E above lowest polymorph (kJ/mol of formula units) = 0
- energy of formation from the pure elements (meV per atom) = -2
- final energy (eV per atom) = -1.02

abc: 9.759 5.645 9.544
angles: 90.00 110.01 90.00
Space group Cm (No. 8)
Symmetry-distinct sites (fractional):
Cs  0.000  0.000  0.000
Rb  0.188  0.000  0.560
Na  0.433  0.000  0.298
Cd  0.266  0.500  0.295



Compound: Pa2SbRu
Source: the Alexandria database
Functional: PBE
Structure: relaxed

## Properties
- E above lowest polymorph (kJ/mol of formula units) = 0
- final energy (eV per atom) = -8.56

abc: 4.0050 4.0050 22.1213
angles: 90.00 90.00 120.00
Space group R-3m (No. 166, hexagonal axes)
Symmetry-distinct sites (fractional):
Pa  0.0000  0.0000  0.2362
Sb  0.0000  0.0000  0.0000
Ru  0.0000  0.0000  0.5000



Compound: TbScPdRu
Source: the Alexandria database
Functional: PBE
Structure: relaxed

## Properties
- energy of formation from the pure elements (meV per atom) = -665
- final energy (eV per atom) = -7.02

abc: 6.722 6.722 6.722
angles: 90.00 90.00 90.00
Space group F-43m (No. 216)
Symmetry-distinct sites (fractional):
Tb  0.000  0.000  0.000
Sc  0.000  0.000  0.500
Pd  0.250  0.250  0.750
Ru  0.250  0.250  0.250



Compound: Y2VBiCl
Source: the Alexandria database
Functional: PBE
Structure: relaxed

## Properties
- final energy (eV per atom) = -5.66

abc: 5.512 5.512 4.353
angles: 90.00 90.00 90.00
Space group P4/mmm (No. 123)
Symmetry-distinct sites (fractional):
Y  0.000  0.500  0.000
V  0.000  0.000  0.000
Bi  0.500  0.500  0.500
Cl  0.000  0.000  0.500



Compound: LaMgTc3
Source: the Alexandria database
Functional: PBE
Structure: relaxed

## Properties
- E above lowest polymorph (kJ/mol of formula units) = 225
- energy of formation from the pure elements (meV per atom) = 1873
- final energy (eV per atom) = -5.65

abc: 4.815 4.815 4.815
angles: 90.00 90.00 90.00
Space group Pm-3m (No. 221)
Symmetry-distinct sites (fractional):
La  0.000  0.000  0.000
Mg  0.500  0.500  0.500
Tc  0.000  0.000  0.500



Compound: Sm4Cd3In2
Source: the Alexandria database
Functional: PBE
Structure: relaxed

## Properties
- energy of formation from the pure elements (meV per atom) = -325
- final energy (eV per atom) = -3.34

abc: 5.2800 5.2800 10.2726
angles: 90.00 90.00 120.00
Space group P-3m1 (No. 164)
Symmetry-distinct sites (fractional):
Sm  0.0000  0.0000  0.1717
Sm  0.3333  0.6667  0.6148
Cd  0.0000  0.0000  0.5000
Cd  0.3333  0.6667  0.9721
In  0.3333  0.6667  0.2890



Compound: CeSm12In6
Source: the Alexandria database
Functional: PBE
Structure: relaxed

## Properties
- energy of formation from the pure elements (meV per atom) = -213
- final energy (eV per atom) = -4.37

abc: 11.7151 11.7151 14.5007
angles: 90.00 90.00 120.00
Space group R-3 (No. 148, hexagonal axes)
Symmetry-distinct sites (fractional):
Ce  0.0000  0.0000  0.0000
Sm  0.0592  0.8440  0.4090
Sm  0.0709  0.1890  0.8089
In  0.0266  0.4361  0.7136



Compound: MnCoOs2
Source: the Alexandria database
Functional: PBE
Structure: relaxed

## Properties
- E above lowest polymorph (kJ/mol of formula units) = 36
- energy of formation from the pure elements (meV per atom) = 157
- final energy (eV per atom) = -9.53

abc: 2.680 2.680 7.196
angles: 90.00 90.00 90.00
Space group P4mm (No. 99)
Symmetry-distinct sites (fractional):
Mn  0.000  0.000  0.000
Co  0.500  0.500  0.768
Os  0.000  0.000  0.525
Os  0.500  0.500  0.256